A plane-wave DFT calculation with PBEsol was carried out for NiAu4 after structural relaxation.

Geometry as POSCAR:
```
NiAu4
1.0
-1.8312 1.8312 6.8352
1.8312 -1.8312 6.8352
1.8312 1.8312 -6.8352
Ni Au
1 4
direct
0.0000 0.0000 0.0000
0.2500 0.7500 0.5000
0.4063 0.4063 0.0000
0.5937 0.5937 0.0000
0.7500 0.2500 0.5000
```

Computed properties:
Theoretical density ... 15.3 g cm⁻³
Energy relative to the elements ... 0.50 eV per atom
DOS at the Fermi energy ... 6.51 states/eV per cell
Calculated volume ... 91.68 Å³/cell
Uncorrected energy ... -19.4 eV/cell
Space group ... I4/mmm

A plane-wave DFT calculation with PBEsol was carried out for LaMn3Ge after structural relaxation.

Geometry as POSCAR:
```
LaMn3Ge
1.0
4.6001 0.0000 0.0000
0.0000 4.6001 0.0000
0.0000 0.0000 4.6001
La Mn Ge
1 3 1
direct
0.0000 0.0000 0.0000
0.0000 0.0000 0.5000
0.0000 0.5000 0.0000
0.5000 0.0000 0.0000
0.5000 0.5000 0.5000
```

Computed properties:
Theoretical density ... 6.4 g cm⁻³
Energy relative to the elements ... 1.74 eV per atom
DOS at the Fermi energy ... 4.72 states/eV per cell
Calculated volume ... 97.34 Å³/cell
Uncorrected energy ... -30.9 eV/cell
Space group ... Pm-3m

A plane-wave DFT calculation with PBEsol was carried out for CrPt3Br after structural relaxation.

Geometry as POSCAR:
```
CrPt3Br
1.0
4.6492 0.0000 0.0000
0.0000 4.6492 0.0000
0.0000 0.0000 4.6492
Cr Pt Br
1 3 1
direct
0.0000 0.0000 0.0000
0.0000 0.5000 0.5000
0.5000 0.0000 0.5000
0.5000 0.5000 0.0000
0.5000 0.5000 0.5000
```

Computed properties:
Theoretical density ... 11.9 g cm⁻³
DOS at the Fermi energy ... 2.86 states/eV per cell
Calculated volume ... 100.49 Å³/cell
Uncorrected energy ... -26.3 eV/cell
Space group ... Pm-3m

A plane-wave DFT calculation with PBEsol was carried out for TlAs3PbS6 after structural relaxation.

Geometry as POSCAR:
```
TlAs3PbS6
1.0
0.0000 23.4107 2.8983
7.5992 0.0000 2.8983
7.5992 23.4107 0.0000
Tl As Pb S
4 12 4 24
direct
0.2366 0.7634 0.3236
0.5736 0.9264 0.4866
0.7634 0.2366 0.6764
0.9264 0.5736 0.0134
0.0645 0.2876 0.1014
0.0650 0.7177 0.0904
0.1231 0.1596 0.5323
0.1486 0.7034 0.1855
0.1596 0.1231 0.1850
0.2876 0.0645 0.5466
0.2896 0.3818 0.6411
0.3818 0.2896 0.6874
0.5626 0.6089 0.8682
0.6089 0.5626 0.9604
0.7034 0.1486 0.9624
0.7177 0.0650 0.1269
0.3053 0.6069 0.4490
0.6069 0.3053 0.6387
0.6113 0.8010 0.6431
0.8010 0.6113 0.9447
0.0206 0.5153 0.0730
0.0376 0.4825 0.8023
0.0912 0.4070 0.1531
0.0969 0.9013 0.1588
0.1519 0.2516 0.2641
0.1770 0.8589 0.2294
0.2224 0.4332 0.7862
0.2516 0.1519 0.3325
0.4070 0.0912 0.3487
0.4332 0.2224 0.5582
0.4477 0.5725 0.2124
0.4638 0.6918 0.0276
0.4664 0.5277 0.6953
0.4825 0.0376 0.6775
0.5153 0.0206 0.3911
0.5277 0.4664 0.3105
0.5547 0.9395 0.7836
0.5725 0.4477 0.7675
0.6918 0.4638 0.8168
0.8589 0.1770 0.7347
0.9013 0.0969 0.8430
0.9175 0.9859 0.9984
0.9395 0.5547 0.7223
0.9859 0.9175 0.0981
```

Computed properties:
Theoretical density ... 5.3 g cm⁻³
Calculated volume ... 1031.24 Å³/cell
Uncorrected energy ... -204.3 eV/cell
Space group ... Fdd2